! HoErAl2 meta-GGA SCAN PBEsol geometry; values from VASP
&SYSTEM
  ibrav = 0, nat = 4, ntyp = 3
/
ATOMIC_SPECIES
Ho 164.93 Ho.upf
Al 26.98 Al.upf
Er 167.26 Er.upf
ATOMIC_POSITIONS angstrom
Ho 0.000 0.000 0.000
Al 2.494 1.440 1.018
Al 7.483 4.321 3.055
Er 4.989 2.880 2.037
CELL_PARAMETERS angstrom
4.989 0.000 0.000
2.494 4.321 0.000
2.494 1.440 4.073
! Calculated total energy, eV/atom: -29.13
! Magnetic moment, μB/atom: 0.000
! Space group: No. 225

***

! SrIn2Br meta-GGA SCAN PBEsol geometry; values from VASP
&SYSTEM
  ibrav = 0, nat = 4, ntyp = 3
/
ATOMIC_SPECIES
In 114.82 In.upf
Sr 87.62 Sr.upf
Br 79.90 Br.upf
ATOMIC_POSITIONS angstrom
In 0.000 0.000 0.000
In 1.913 2.375 0.000
Sr 1.913 0.000 3.254
Br 0.000 2.375 3.254
CELL_PARAMETERS angstrom
3.827 0.000 0.000
0.000 4.750 0.000
0.000 0.000 6.508
! Energy above the lowest structure with this stoichiometry, kJ/mol of formula units: 7.8
! Magnetic moment, μB/atom: 0.000
! Formation energy without anion corrections, meV per atom: -784.6
! Space group: No. 47